Record 1
# SmEr2Sn

Crystalline SmEr2Sn at its relaxed geometry (PBE, Alexandria via LeMat-Bulk).

Unit cell a=4.7975 b=4.8226 c=4.8226 alpha=90.00 beta=90.00 gamma=90.00
Last column: nearest neighbours and their distance in Å.
Fractional coordinates of all 4 atoms:
Er (0.0000, 0.0000, 0.5000)  4 Sn 3.40, 4 Sm 3.40, 4 Er 3.41
Sn (0.5000, 0.0000, 0.0000)  8 Er 3.40, 4 Sm 3.41
Er (0.0000, 0.5000, 0.0000)  4 Sn 3.40, 4 Sm 3.40, 4 Er 3.41
Sm (0.5000, 0.5000, 0.5000)  8 Er 3.40, 4 Sn 3.41

Results
* total moment: 0.00 Bohr magnetons per cell
* DFT formation energy: -0.4123 eV/atom

Record 2
# SmEr2Sn

Crystalline SmEr2Sn at its relaxed geometry (PBE, Alexandria via LeMat-Bulk).

Unit cell a=3.5035 b=3.5035 c=12.0721 alpha=81.66 beta=81.66 gamma=60.00
Last column: nearest neighbours and their distance in Å.
Fractional coordinates of all 4 atoms:
Er (0.9134, 0.9134, 0.2597)  1 Sn 3.09
Sm (0.5000, 0.5000, 0.5000)  6 Er 3.50, 6 Sm 3.50
Sn (0.0000, 0.0000, 0.0000)  2 Er 3.09
Er (0.0866, 0.0866, 0.7403)  1 Sn 3.09

Results
* total moment: 0.00 Bohr magnetons per cell
* DFT formation energy: 0.0526 eV/atom

Record 3
# Sm3ErSn5

Crystalline Sm3ErSn5 at its relaxed geometry (PBE, Alexandria via LeMat-Bulk).

Unit cell a=6.4120 b=9.4798 c=9.4798 alpha=120.00 beta=90.00 gamma=90.00
Last column: nearest neighbours and their distance in Å.
Fractional coordinates of all 18 atoms:
Sn (0.5000, 0.6667, 0.3333)  2 Sn 3.21, 6 Sm 3.36
Sn (0.2500, 0.0000, 0.2826)  2 Er 3.12, 5 Sm 3.17-3.34
Sn (0.2500, 0.7174, 0.7174)  2 Er 3.12, 5 Sm 3.17-3.34
Er (0.0000, 0.0000, 0.0000)  6 Sn 3.12, 2 Er 3.21
Sm (0.7500, 0.3825, 0.0000)  9 Sn 3.17-3.36
Sm (0.7500, 0.6175, 0.6175)  9 Sn 3.17-3.36
Sn (0.2500, 0.2826, 0.0000)  2 Er 3.12, 5 Sm 3.17-3.34
Sn (0.0000, 0.6667, 0.3333)  2 Sn 3.21, 6 Sm 3.36
Sn (0.5000, 0.3333, 0.6667)  2 Sn 3.21, 6 Sm 3.36
Sm (0.2500, 0.0000, 0.6175)  9 Sn 3.17-3.36
Sm (0.2500, 0.3825, 0.3825)  9 Sn 3.17-3.36
Sn (0.7500, 0.0000, 0.7174)  2 Er 3.12, 5 Sm 3.17-3.34
Er (0.5000, 0.0000, 0.0000)  6 Sn 3.12, 2 Er 3.21
Sn (0.7500, 0.2826, 0.2826)  2 Er 3.12, 5 Sm 3.17-3.34
Sn (0.7500, 0.7174, 0.0000)  2 Er 3.12, 5 Sm 3.17-3.34
Sn (0.0000, 0.3333, 0.6667)  2 Sn 3.21, 6 Sm 3.36
Sm (0.7500, 0.0000, 0.3825)  9 Sn 3.17-3.36
Sm (0.2500, 0.6175, 0.0000)  9 Sn 3.17-3.36

Results
* total moment: 0.00 Bohr magnetons per cell
* DFT formation energy: -0.6260 eV/atom